# 1
Computed, not measured: a geometry-optimized Li3Pu3USe8 structure at the PBE-GGA level of DFT.

Lattice parameters (Å, degrees): 8.2979 8.2979 19.2101 90.00 90.00 120.00
Space group R-3m (No. 166, hexagonal axes)
Symmetry-distinct sites (fractional):
Li 0.0000 0.5000 0.0000 (multiplicity 9)
Pu 0.0000 0.5000 0.5000 (multiplicity 9)
U 0.0000 0.0000 0.5000 (multiplicity 3)
Se 0.0000 0.0000 0.2509 (multiplicity 6)
Se 0.0102 0.5051 0.2493 (multiplicity 18)

Calculated values
Raw formation energy   -1354.5 meV per atom
Density   7.06 g/cm³

# 2
Computed, not measured: a geometry-optimized NbV2Zn2 structure at the PBE-GGA level of DFT.

Lattice parameters (Å, degrees): 3.559 3.559 11.978 90.00 90.00 90.00
Space group I4/mmm (No. 139)
Symmetry-distinct sites (fractional):
Nb 0.000 0.000 0.000 (multiplicity 2)
V 0.000 0.500 0.250 (multiplicity 4)
Zn 0.000 0.000 0.403 (multiplicity 4)

Calculated values
ΔH_f (0 K)   0.19 eV per atom
Density   7.13 g/cm³
ΔE to the lowest computed polymorph   14 meV per atom

# 3
Computed, not measured: a geometry-optimized TmUB4 structure at the PBE-GGA level of DFT.

Lattice parameters (Å, degrees): 6.651 6.651 6.651 90.00 90.00 90.00
Space group F-43m (No. 216)
Symmetry-distinct sites (fractional):
Tm 0.000 0.000 0.000 (multiplicity 4)
U 0.250 0.250 0.250 (multiplicity 4)
B 0.094 0.094 0.594 (multiplicity 16)

Calculated values
ΔH_f (0 K)   0.39 eV per atom
Density   10.16 g/cm³
ΔE to the lowest computed polymorph   761 meV per atom

# 4
Computed, not measured: a geometry-optimized DyGaNiIr structure at the PBE-GGA level of DFT.

Lattice parameters (Å, degrees): 6.422 6.422 6.422 90.00 90.00 90.00
Space group F-43m (No. 216)
Symmetry-distinct sites (fractional):
Dy 0.000 0.000 0.000 (multiplicity 4)
Ga 0.000 0.000 0.500 (multiplicity 4)
Ni 0.250 0.250 0.750 (multiplicity 4)
Ir 0.250 0.250 0.250 (multiplicity 4)

Calculated values
ΔH_f (0 K)   -0.49 eV per atom
Density   12.12 g/cm³

# 5
Computed, not measured: a geometry-optimized ZrSi3W structure at the PBE-GGA level of DFT.

Lattice parameters (Å, degrees): 4.780 4.780 4.780 90.00 90.00 90.00
Space group Pm-3m (No. 221)
Symmetry-distinct sites (fractional):
Zr 0.000 0.000 0.000 (multiplicity 1)
Si 0.000 0.000 0.500 (multiplicity 3)
W 0.500 0.500 0.500 (multiplicity 1)

Calculated values
Raw formation energy   1836.0 meV per atom
Density   5.46 g/cm³
ΔE to the lowest computed polymorph   1175 meV per atom

# 6
Computed, not measured: a geometry-optimized ZnOsW2 structure at the PBE-GGA level of DFT.

Lattice parameters (Å, degrees): 6.246 6.246 6.246 90.00 90.00 90.00
Space group F-43m (No. 216)
Symmetry-distinct sites (fractional):
Zn 0.000 0.000 0.000 (multiplicity 4)
Os 0.250 0.250 0.250 (multiplicity 4)
W 0.000 0.000 0.500 (multiplicity 4)
W 0.250 0.250 0.750 (multiplicity 4)

Calculated values
ΔH_f (0 K)   0.29 eV per atom
Density   16.99 g/cm³

# 7
Computed, not measured: a geometry-optimized Sm6GaRh3 structure at the PBE-GGA level of DFT.

Lattice parameters (Å, degrees): 10.565 4.463 12.112 90.00 111.61 90.00
Space group P2_1/m (No. 11)
Symmetry-distinct sites (fractional):
Sm 0.024 0.250 0.389 (multiplicity 2)
Sm 0.087 0.250 0.926 (multiplicity 2)
Sm 0.240 0.750 0.314 (multiplicity 2)
Sm 0.340 0.750 0.801 (multiplicity 2)
Sm 0.367 0.750 0.100 (multiplicity 2)
Sm 0.384 0.250 0.569 (multiplicity 2)
Ga 0.419 0.250 0.293 (multiplicity 2)
Rh 0.102 0.250 0.174 (multiplicity 2)
Rh 0.192 0.750 0.528 (multiplicity 2)
Rh 0.389 0.250 0.958 (multiplicity 2)

Calculated values
ΔH_f (0 K)   -0.55 eV per atom
Density   8.01 g/cm³

# 8
Computed, not measured: a geometry-optimized Al2TlInBr structure at the PBE-GGA level of DFT.

Lattice parameters (Å, degrees): 5.232 5.232 6.248 90.00 90.00 90.00
Space group P4/mmm (No. 123)
Symmetry-distinct sites (fractional):
Al 0.000 0.500 0.000 (multiplicity 2)
Tl 0.000 0.000 0.500 (multiplicity 1)
In 0.000 0.000 0.000 (multiplicity 1)
Br 0.500 0.500 0.500 (multiplicity 1)

Calculated values
Raw formation energy   373.0 meV per atom
Density   4.40 g/cm³

# 9
Computed, not measured: a geometry-optimized CdTc2Pt structure at the PBE-GGA level of DFT.

Lattice parameters (Å, degrees): 4.873 4.873 2.729 90.00 90.00 90.00
Space group P4/mmm (No. 123)
Symmetry-distinct sites (fractional):
Cd 0.000 0.000 0.000 (multiplicity 1)
Tc 0.000 0.500 0.500 (multiplicity 2)
Pt 0.500 0.500 0.000 (multiplicity 1)

Calculated values
ΔH_f (0 K)   0.47 eV per atom
Density   12.90 g/cm³

# 10
Computed, not measured: a geometry-optimized MgScSi2I structure at the PBE-GGA level of DFT.

Lattice parameters (Å, degrees): 5.099 5.099 6.161 90.00 90.00 90.00
Space group P4/mmm (No. 123)
Symmetry-distinct sites (fractional):
Mg 0.000 0.000 0.000 (multiplicity 1)
Sc 0.000 0.000 0.500 (multiplicity 1)
Si 0.000 0.500 0.500 (multiplicity 2)
I 0.500 0.500 0.000 (multiplicity 1)

Calculated values
Raw formation energy   768.9 meV per atom
Density   2.62 g/cm³

# 11
Computed, not measured: a geometry-optimized Sc3Si3Pd2 structure at the PBE-GGA level of DFT.

Lattice parameters (Å, degrees): 7.681 13.573 5.398 90.00 90.00 90.00
Space group Pnma (No. 62)
Symmetry-distinct sites (fractional):
Sc 0.044 0.113 0.128 (multiplicity 8)
Sc 0.196 0.250 0.618 (multiplicity 4)
Si 0.172 0.750 0.620 (multiplicity 4)
Si 0.211 0.041 0.591 (multiplicity 8)
Pd 0.082 0.603 0.378 (multiplicity 8)

Calculated values
Raw formation energy   -849.1 meV per atom
Density   5.10 g/cm³

# 12
Computed, not measured: a geometry-optimized RbMnCuS3 structure at the PBE-GGA level of DFT.

Lattice parameters (Å, degrees): 8.319 3.625 9.324 90.00 114.68 90.00
Space group P2_1/m (No. 11)
Symmetry-distinct sites (fractional):
Rb 0.237 0.250 0.268 (multiplicity 2)
Mn 0.324 0.750 0.850 (multiplicity 2)
Cu 0.080 0.250 0.602 (multiplicity 2)
S 0.140 0.250 0.863 (multiplicity 2)
S 0.235 0.750 0.572 (multiplicity 2)
S 0.478 0.750 0.128 (multiplicity 2)

Calculated values
Raw formation energy   -669.1 meV per atom
Density   3.90 g/cm³

| no. | final energy (eV/cell) |
| --- | --- |
| 1 | -324.66 |
| 2 | -59.77 |
| 3 | -160.58 |
| 4 | -96.94 |
| 5 | -28.59 |
| 6 | -149.06 |
| 7 | -117.76 |
| 8 | -12.40 |
| 9 | -25.81 |
| 10 | -16.48 |
| 11 | -209.77 |
| 12 | -61.26 |